# 1
Density functional theory data (PBE) for a relaxed structure of LaSm2Ge2Pd2.

- formation energy from the elements (eV per atom) = -0.819
- SG = No. 166

abc: 4.533 4.533 9.728
angles: 76.53 76.53 60.00
Fractional coordinates of all 7 atoms:
La 0.000 0.000 0.000
Sm 0.126 0.126 0.622
Sm 0.874 0.874 0.378
Ge 0.744 0.744 0.769
Ge 0.256 0.256 0.231
Pd 0.597 0.597 0.208
Pd 0.403 0.403 0.792



# 2
Density functional theory data (PBE) for a relaxed structure of Sm3GaSi.

- SG = No. 12
- formation energy (no corrections) (eV/atom) = -0.474

abc: 4.143 7.909 8.444
angles: 92.78 90.03 105.21
Fractional coordinates of all 10 atoms:
Sm 0.069 0.172 0.388
Sm 0.427 0.887 0.629
Sm 0.617 0.267 0.793
Sm 0.975 0.982 0.034
Sm 0.258 0.549 0.034
Sm 0.786 0.605 0.388
Ga 0.229 0.491 0.641
Ga 0.815 0.664 0.781
Si 0.416 0.864 0.275
Si 0.628 0.290 0.147



# 3
Density functional theory data (PBE) for a relaxed structure of Tl3NiCl4.

- SG = No. 217
- formation energy (no corrections) (eV/atom) = -0.683

abc: 6.666 6.666 6.666
angles: 109.47 109.47 109.47
Each line ends with the local moment (μB).
Fractional coordinates of all 8 atoms:
Tl 0.500 0.500 0.000  0.00
Tl 0.000 0.500 0.500  0.00
Tl 0.500 0.000 0.500  0.00
Ni 0.000 0.000 0.000  0.94
Cl 0.644 0.000 0.000  0.02
Cl 0.000 0.000 0.644  0.02
Cl 0.356 0.356 0.356  0.02
Cl 0.000 0.644 0.000  0.02



# 4
Density functional theory data (PBE) for a relaxed structure of Pr3CF3.

- SG = No. 148
- formation energy (no corrections) (eV/atom) = -2.317

abc: 6.748 6.748 7.826
angles: 64.46 64.46 60.00
Fractional coordinates of all 14 atoms:
Pr 0.282 0.569 0.221
Pr 0.928 0.282 0.221
Pr 0.569 0.928 0.221
Pr 0.431 0.072 0.779
Pr 0.072 0.718 0.779
Pr 0.718 0.431 0.779
C 0.333 0.333 0.000
C 0.667 0.667 0.000
F 0.440 0.812 0.612
F 0.812 0.135 0.612
F 0.135 0.440 0.612
F 0.865 0.560 0.388
F 0.188 0.865 0.388
F 0.560 0.188 0.388



# 5
Density functional theory data (PBE) for a relaxed structure of ZrAlSi.

- SG = No. 129
- formation energy (no corrections) (eV/atom) = -0.252

abc: 3.942 3.942 6.751
angles: 90.00 90.00 90.00
Fractional coordinates of all 6 atoms:
Zr 0.500 0.000 0.314
Zr 0.000 0.500 0.686
Al 0.500 0.000 0.727
Al 0.000 0.500 0.273
Si 0.000 0.000 0.000
Si 0.500 0.500 0.000



# 6
Density functional theory data (PBE) for a relaxed structure of Ho5Tc2O12.

- SG = No. 12
- formation energy (no corrections) (eV/atom) = -2.907

abc: 5.651 6.803 7.501
angles: 106.25 90.00 114.54
Each line ends with the local moment (μB).
Fractional coordinates of all 19 atoms:
Ho 0.304 0.608 0.642  0.01
Ho 0.316 0.631 0.176  0.00
Ho 0.000 0.000 0.500  0.00
Ho 0.684 0.369 0.824  0.00
Ho 0.696 0.392 0.358  0.01
Tc 0.786 0.000 0.000  0.34
Tc 0.214 0.000 0.000  0.34
O 0.999 0.997 0.205  -0.02
O 0.086 0.669 0.916  0.05
O 0.583 0.669 0.916  0.05
O 0.098 0.692 0.426  0.00
O 0.594 0.692 0.426  0.00
O 0.499 0.997 0.821  0.00
O 0.501 0.003 0.179  0.00
O 0.902 0.308 0.574  0.00
O 0.406 0.308 0.574  0.00
O 0.914 0.331 0.084  0.05
O 0.417 0.331 0.084  0.05
O 0.001 0.003 0.795  -0.02



# 7
Density functional theory data (PBE) for a relaxed structure of Sr2MgAg.

- formation energy from the elements (eV per atom) = -0.006
- SG = No. 119

abc: 6.667 6.667 6.667
angles: 137.10 137.10 62.29
Fractional coordinates of all 4 atoms:
Ag 0.500 0.500 0.000
Mg 0.750 0.250 0.500
Sr 0.000 0.000 0.000
Sr 0.250 0.750 0.500



# 8
Density functional theory data (PBE) for a relaxed structure of CeNd3Ag2.

- formation energy from the elements (eV per atom) = -0.128
- SG = No. 123

abc: 3.699 3.699 12.369
angles: 90.00 90.00 90.00
Each line ends with the local moment (μB).
Fractional coordinates of all 6 atoms:
Ce 0.500 0.500 0.500  0.34
Nd 0.000 0.000 0.000  0.01
Nd 0.000 0.000 0.690  0.00
Nd 0.000 0.000 0.310  0.00
Ag 0.500 0.500 0.845  0.00
Ag 0.500 0.500 0.155  0.00



# 9
Density functional theory data (PBE) for a relaxed structure of Li4FePt.

- formation energy from the elements (eV per atom) = 0.042
- SG = No. 216

abc: 4.764 4.764 4.764
angles: 60.00 60.00 60.00
Each line ends with the local moment (μB).
Fractional coordinates of all 6 atoms:
Li 0.624 0.624 0.128  -0.05
Li 0.624 0.128 0.624  -0.05
Li 0.624 0.624 0.624  -0.05
Li 0.128 0.624 0.624  -0.05
Fe 0.000 0.000 0.000  2.99
Pt 0.250 0.250 0.250  0.17



# 10
Density functional theory data (PBE) for a relaxed structure of BiWSe2Br.

- energy above the most stable polymorph in this dataset (meV per atom) = 991
- SG = No. 123
- formation energy (no corrections) (eV/atom) = 1.350

abc: 5.570 5.570 5.436
angles: 90.00 90.00 90.00
Each line ends with the local moment (μB).
Fractional coordinates of all 5 atoms:
Br 0.000 0.000 0.500  0.03
Se 0.000 0.500 0.000  -0.23
Se 0.500 0.000 0.000  -0.23
Bi 0.000 0.000 0.000  0.02
W 0.500 0.500 0.500  3.43



# 11
Density functional theory data (PBE) for a relaxed structure of Tl2SiRu.

- energy above the most stable polymorph in this dataset (meV per atom) = 121
- SG = No. 141
- formation energy (no corrections) (eV/atom) = 0.164

abc: 10.427 10.427 7.718
angles: 47.51 47.51 90.00
Fractional coordinates of all 8 atoms:
Ru 0.000 0.000 0.000
Ru 0.750 0.250 0.500
Tl 0.875 0.125 0.250
Tl 0.875 0.625 0.250
Tl 0.375 0.125 0.750
Tl 0.875 0.125 0.750
Si 0.500 0.500 0.000
Si 0.250 0.750 0.500



# 12
Density functional theory data (PBE) for a relaxed structure of LuPuMnOs.

- formation energy from the elements (eV per atom) = -0.100
- SG = No. 216

abc: 4.769 4.769 4.769
angles: 60.00 60.00 60.00
Each line ends with the local moment (μB).
Fractional coordinates of all 4 atoms:
Lu 0.000 0.000 0.000  0.08
Os 0.750 0.750 0.750  -0.40
Mn 0.250 0.250 0.250  -3.14
Pu 0.500 0.500 0.500  5.02



In eV/cell, the VASP energy values for the records above are, in order, -39.7; -50.0; -25.7; -90.8; -36.9; -158.3; -7.8; -26.7; -21.9; -18.7; -37.6; -39.7.
In μB per atom, the total magnetization values for the records above are, in order, 0.00; 0.00; 0.13; 0.00; 0.00; 0.05; 0.00; 0.07; 0.47; 0.82; 0.00; 0.41.